DFT (PBE) results for BaAc2Te4 after structural relaxation.

SG ... Cmcm, No. 63
Energy above the lowest structure with this stoichiometry ... 26 meV/atom
E_form (uncorrected) ... -1622 meV/atom
Raw total energy ... -4.8662 eV/atom

Cell lengths 4.771, 8.231, 16.061 Å; angles 90.00, 90.00, 106.85 degrees
Positions (direct):
Ba1 0.613 0.227 0.750
Ba2 0.387 0.773 0.250
Ac1 0.134 0.268 0.431
Ac2 0.866 0.732 0.931
Ac3 0.134 0.268 0.069
Ac4 0.866 0.732 0.569
Te1 0.772 0.543 0.119
Te2 0.772 0.543 0.381
Te3 0.228 0.457 0.881
Te4 0.228 0.457 0.619
Te5 0.957 0.913 0.750
Te6 0.043 0.087 0.250
Te7 0.500 0.000 0.000
Te8 0.500 0.000 0.500

---

DFT (PBE) results for Re2HgTeH after structural relaxation.

SG ... P4/mmm, No. 123
Raw total energy ... -4.7200 eV/atom

Cell lengths 5.072, 3.396, 5.072 Å; angles 90.00, 90.00, 90.00 degrees
Positions (direct):
Re1 0.000 0.000 0.500
Re2 0.500 0.000 0.000
Te1 0.000 0.000 0.000
Hg1 0.500 0.500 0.500
H1 0.000 0.500 0.000

---

DFT (PBE) results for TbPm2Nd4 after structural relaxation.

SG ... R-3m, No. 166
Energy above the lowest structure with this stoichiometry ... 0 meV/atom
Energy of formation from the pure elements ... 9 meV per atom
Raw total energy ... -4.7343 eV/atom

Cell lengths 3.656, 3.656, 20.946 Å; angles 84.99, 84.99, 60.00 degrees
Positions (direct):
Tb1 0.000 0.000 0.000
Pm1 0.428 0.428 0.716
Pm2 0.572 0.572 0.284
Nd1 0.143 0.143 0.572
Nd2 0.286 0.286 0.141
Nd3 0.714 0.714 0.859
Nd4 0.857 0.857 0.428

---

DFT (PBE) results for ErGaGe after structural relaxation.

SG ... Cmcm, No. 63
Energy of formation from the pure elements ... -603 meV per atom
Raw total energy ... -4.6716 eV/atom

Cell lengths 4.131, 5.532, 5.757 Å; angles 90.00, 90.00, 111.92 degrees
Positions (direct):
Er1 0.178 0.356 0.750
Er2 0.822 0.644 0.250
Ga1 0.500 0.000 0.500
Ga2 0.500 0.000 0.000
Ge1 0.118 0.235 0.250
Ge2 0.882 0.765 0.750